(1)
Here is crystalline LiUMn2S6 at its relaxed geometry from the Alexandria database. Energies are from PBE-GGA.

The structure in POSCAR format:
```
LiUMn2S6
1.0
6.306 0.000 0.000
3.153 5.462 0.000
3.153 1.821 5.793
Mn U S Li
2 1 6 1
Direct
0.012 0.012 0.964 Mn
0.505 0.505 0.485 Mn
0.823 0.823 0.530 U
0.397 0.737 0.748 S
0.737 0.118 0.748 S
0.624 0.248 0.244 S
0.118 0.397 0.748 S
0.248 0.884 0.244 S
0.884 0.624 0.244 S
0.314 0.314 0.058 Li
```

The value obtained for the uncorrected formation energy is -0.87 eV per atom. The density of states at the Fermi level comes out at 6.00 states/eV/cell. Its space group is R3.

---

(2)
Here is crystalline Sr2Tl12Cd at its relaxed geometry from the Alexandria database. Energies are from PBE-GGA.

The structure in POSCAR format:
```
Sr2Tl12Cd
1.0
-2.141 -4.191 -5.233
6.617 -0.437 -2.358
3.076 -16.068 11.610
Tl Sr Cd
24 4 2
Direct
0.166 0.334 0.432 Tl
0.249 0.251 0.094 Tl
0.500 0.500 0.658 Tl
0.251 0.249 0.906 Tl
0.666 0.166 0.432 Tl
0.000 0.000 0.342 Tl
0.834 0.334 0.568 Tl
0.251 0.751 0.094 Tl
0.249 0.749 0.906 Tl
0.834 0.666 0.432 Tl
0.666 0.834 0.568 Tl
0.000 0.000 0.658 Tl
0.500 0.500 0.342 Tl
0.000 0.000 0.194 Tl
0.000 0.000 0.806 Tl
0.500 0.500 0.194 Tl
0.749 0.249 0.094 Tl
0.334 0.834 0.432 Tl
0.751 0.251 0.906 Tl
0.500 0.500 0.806 Tl
0.749 0.751 0.906 Tl
0.166 0.666 0.568 Tl
0.334 0.166 0.568 Tl
0.751 0.749 0.094 Tl
0.500 0.000 0.746 Sr
0.500 0.000 0.254 Sr
0.000 0.500 0.254 Sr
0.000 0.500 0.746 Sr
0.500 0.000 0.000 Cd
0.000 0.500 0.000 Cd
```

The density of states at the Fermi level comes out at 14.21 states/eV/cell. Its space group is P4/nbm. The value obtained for the calculated formation energy is -55.1 meV per atom.

---

(3)
Here is crystalline HfPbSN2 at its relaxed geometry from the Alexandria database. Energies are from PBE-GGA.

The structure in POSCAR format:
```
HfPbSN2
1.0
-1.033 -3.637 1.772
2.805 -1.962 -2.392
3.554 0.730 3.568
N S Pb Hf
2 1 1 1
Direct
0.500 0.000 0.000 N
0.000 0.500 0.000 N
0.000 0.000 0.500 S
0.000 0.000 0.000 Pb
0.500 0.500 0.500 Hf
```

The value obtained for the uncorrected formation energy is 1.34 eV per atom. The density of states at the Fermi level comes out at 2.91 states/eV/cell. Its space group is P4/mmm.

---

(4)
Here is crystalline SbTe2Br at its relaxed geometry from the Alexandria database. Energies are from PBE-GGA.

The structure in POSCAR format:
```
SbTe2Br
1.0
5.197 0.000 0.000
0.000 5.197 0.000
0.000 0.000 4.130
Te Sb Br
2 1 1
Direct
0.500 0.500 0.000 Te
0.000 0.000 0.000 Te
0.000 0.500 0.500 Sb
0.500 0.000 0.500 Br
```

The value obtained for the uncorrected formation energy is 0.32 eV per atom. The density of states at the Fermi level comes out at 3.26 states/eV/cell. Its space group is P4/mmm.

---

(5)
Here is crystalline Be3VCl at its relaxed geometry from the Alexandria database. Energies are from PBE-GGA.

The structure in POSCAR format:
```
Be3VCl
1.0
4.685 0.000 0.000
0.000 4.685 0.000
0.000 0.000 4.685
Be Cl V
3 1 1
Direct
0.000 0.500 0.000 Be
0.000 0.000 0.500 Be
0.500 0.000 0.000 Be
0.500 0.500 0.500 Cl
0.000 0.000 0.000 V
```

The value obtained for the uncorrected formation energy is 1.63 eV per atom. The density of states at the Fermi level comes out at 7.64 states/eV/cell. Its space group is Pm-3m.

---

(6)
Here is crystalline ZrV2Ga at its relaxed geometry from the Alexandria database. Energies are from PBE-GGA.

The structure in POSCAR format:
```
ZrV2Ga
1.0
4.173 0.000 0.000
0.000 3.943 0.000
0.000 0.000 3.943
Zr Ga V
1 1 2
Direct
0.500 0.500 0.500 Zr
0.500 0.000 0.000 Ga
0.000 0.500 0.000 V
0.000 0.000 0.500 V
```

The density of states at the Fermi level comes out at 5.09 states/eV/cell. Its space group is P4/mmm. The value obtained for the calculated formation energy is -60.7 meV per atom.

---

(7)
Here is crystalline Na2LaAgO4 at its relaxed geometry from the Alexandria database. Energies are from PBE-GGA.

The structure in POSCAR format:
```
Na2LaAgO4
1.0
-1.998 -3.659 -3.349
4.086 2.692 -2.158
2.068 -2.214 4.407
O Na Ag La
4 2 1 1
Direct
0.925 0.694 0.221 O
0.075 0.296 0.769 O
0.473 0.779 0.704 O
0.527 0.231 0.306 O
0.000 0.000 0.000 Na
0.500 0.750 0.250 Na
0.000 0.500 0.500 Ag
0.500 0.250 0.750 La
```

The value obtained for the uncorrected formation energy is -1.61 eV per atom. Its space group is I-4.

---

(8)
Here is crystalline NaRuSe2 at its relaxed geometry from the Alexandria database. Energies are from PBE-GGA.

The structure in POSCAR format:
```
NaRuSe2
1.0
-4.989 -3.570 3.464
2.220 -5.989 -2.974
1.188 -5.365 3.346
Ru Se Na
2 4 2
Direct
0.750 0.250 0.500 Ru
0.000 0.000 0.000 Ru
0.375 0.297 0.750 Se
0.047 0.625 0.250 Se
0.703 0.125 0.250 Se
0.875 0.953 0.750 Se
0.250 0.750 0.500 Na
0.500 0.500 0.000 Na
```

The value obtained for the uncorrected formation energy is -0.35 eV per atom. The density of states at the Fermi level comes out at 6.00 states/eV/cell. Its space group is I-42d.

---

(9)
Here is crystalline KRb2SrF at its relaxed geometry from the Alexandria database. Energies are from PBE-GGA.

The structure in POSCAR format:
```
KRb2SrF
1.0
7.881 0.000 0.000
0.000 7.881 0.000
0.000 0.000 4.730
Sr Rb F K
1 2 1 1
Direct
0.000 0.000 0.500 Sr
0.500 0.000 0.000 Rb
0.000 0.500 0.000 Rb
0.000 0.000 0.000 F
0.500 0.500 0.500 K
```

The value obtained for the uncorrected formation energy is -1.02 eV per atom. The density of states at the Fermi level comes out at 3.10 states/eV/cell. Its space group is P4/mmm.

---

(10)
Here is crystalline Pm2TcN3 at its relaxed geometry from the Alexandria database. Energies are from PBE-GGA.

The structure in POSCAR format:
```
Pm2TcN3
1.0
-1.208 3.241 0.334
-3.629 -1.378 0.245
3.016 -1.366 6.097
Pm N Tc
2 3 1
Direct
0.351 0.351 0.702 Pm
0.649 0.649 0.298 Pm
0.000 0.500 0.000 N
0.161 0.161 0.322 N
0.839 0.839 0.678 N
0.000 0.000 0.000 Tc
```

The value obtained for the uncorrected formation energy is -1.01 eV per atom. The density of states at the Fermi level comes out at 3.76 states/eV/cell. Its space group is Immm.

---

(11)
Here is crystalline NbPO4 at its relaxed geometry from the Alexandria database. Energies are from PBE-GGA.

The structure in POSCAR format:
```
NbPO4
1.0
-3.697 2.439 3.728
1.350 -3.789 3.818
4.373 3.573 2.000
O Nb P
8 2 2
Direct
0.821 0.881 0.665 O
0.162 0.317 0.124 O
0.179 0.881 0.335 O
0.179 0.119 0.665 O
0.838 0.683 0.124 O
0.162 0.683 0.876 O
0.838 0.317 0.876 O
0.821 0.119 0.335 O
0.000 0.000 0.000 Nb
0.500 0.000 0.500 Nb
0.000 0.000 0.500 P
0.000 0.500 0.000 P
```

The value obtained for the uncorrected formation energy is -1.79 eV per atom. The density of states at the Fermi level comes out at 2.82 states/eV/cell. Its space group is P222.

---

(12)
Here is crystalline ZnGaSb at its relaxed geometry from the Alexandria database. Energies are from PBE-GGA.

The structure in POSCAR format:
```
ZnGaSb
1.0
3.979 0.606 0.646
0.786 5.864 0.153
1.022 0.206 5.814
Zn Ga Sb
2 2 2
Direct
0.511 0.097 0.504 Zn
0.511 0.597 0.501 Zn
0.157 0.338 0.195 Ga
0.843 0.819 0.809 Ga
0.841 0.321 0.816 Sb
0.154 0.838 0.187 Sb
```

The value obtained for the uncorrected formation energy is 0.07 eV per atom. The density of states at the Fermi level comes out at 1.64 states/eV/cell. Its space group is P1.